1.
DFT (GGA+U) results for crystalline LaVClO4 at its relaxed geometry.

a = 6.7796 Å, b = 6.7796 Å, c = 7.1024 Å
α = 80.33°, β = 80.33°, γ = 61.60°
Sites, in units of the cell vectors:
O  0.5070  0.5070  0.2494
O  0.7124  0.7124  0.4889
O  0.2876  0.2876  0.5111
O  0.4968  0.8829  0.8549
O  0.1171  0.5032  0.1451
O  0.5032  0.1171  0.1451
O  0.8829  0.4968  0.8549
O  0.4930  0.4930  0.7506
La  0.2913  0.2913  0.8411
La  0.7087  0.7087  0.1589
Cl  0.0228  0.0228  0.1281
Cl  0.9772  0.9772  0.8719
V  0.3562  0.3562  0.2743
V  0.6438  0.6438  0.7257

Output
Its final energy is -7.120 eV/atom. The crystal system is monoclinic. The volume comes out at 20.12 A^3/atom.


2.
DFT (GGA+U) results for crystalline La3WCl3O6 at its relaxed geometry.

a = 9.5127 Å, b = 9.5127 Å, c = 5.4807 Å
α = 90.00°, β = 90.00°, γ = 120.00°
Sites, in units of the cell vectors:
Cl  0.1935  0.2415  0.2500
Cl  0.9519  0.1935  0.7500
Cl  0.2415  0.0481  0.7500
Cl  0.8065  0.7585  0.7500
Cl  0.0481  0.8065  0.2500
Cl  0.7585  0.9519  0.2500
O  0.8387  0.4740  0.9799
O  0.5260  0.3647  0.9799
O  0.4740  0.6353  0.4799
O  0.6353  0.1613  0.5201
O  0.3647  0.8387  0.0201
O  0.8387  0.4740  0.5201
O  0.3647  0.8387  0.4799
O  0.5260  0.3647  0.5201
O  0.6353  0.1613  0.9799
O  0.4740  0.6353  0.0201
O  0.1613  0.5260  0.4799
O  0.1613  0.5260  0.0201
La  0.5951  0.9106  0.7500
La  0.4049  0.0894  0.2500
La  0.9106  0.3155  0.2500
La  0.6845  0.5951  0.2500
La  0.0894  0.6845  0.7500
La  0.3155  0.4049  0.7500
W  0.3333  0.6667  0.2500
W  0.6667  0.3333  0.7500

Output
Its final energy is -7.256 eV/atom. The crystal system is hexagonal. The volume comes out at 16.52 A^3/atom. The calculation puts the density of states at the Fermi level at 0.00 states/eV per atom.